Below is a geometry-optimized TlAg2WF8 structure, with properties calculated at the PBE with a Hubbard U level. Values from VASP.

Results
Calculated total energy: -4.29 eV per atom
SG: P-3m1
Spin magnetization: 1.00 μB/f.u.
Crystal system: trigonal

Cell and atoms, written as Quantum ESPRESSO input:
```
&SYSTEM
  ibrav = 0, nat = 12, ntyp = 4
/
ATOMIC_SPECIES
Tl 204.38 Tl.upf
Ag 107.87 Ag.upf
W 183.84 W.upf
F 19.00 F.upf
CELL_PARAMETERS angstrom
5.2836 0.0000 0.0000
-2.6418 4.5758 0.0000
0.0000 0.0000 8.7531
ATOMIC_POSITIONS crystal
Tl 0.0000 0.0000 0.5000
Ag 0.6667 0.3333 0.2958
Ag 0.3333 0.6667 0.7042
W 0.0000 0.0000 0.0000
F 0.8336 0.6672 0.8633
F 0.3328 0.1664 0.8633
F 0.8336 0.1664 0.8633
F 0.1664 0.3328 0.1367
F 0.6672 0.8336 0.1367
F 0.1664 0.8336 0.1367
F 0.6667 0.3333 0.5412
F 0.3333 0.6667 0.4588
```